Record 1
Density functional theory data (PBE) for a relaxed Er3Al3CuSiAu crystal.

For the raw total energy, the calculation gives -43.30 eV for the cell shown. Its crystal system is hexagonal. For the total moment, the calculation gives 0.001 μB per atom. For the volume, the calculation gives 19.47 Å³ per atom.

The space group is P-6 (No. 174) and the conventional cell measures 6.9747, 6.9747 and 4.1596 Å, with angles of 90.00, 90.00 and 120.00 degrees. Symmetry generates all atoms from Er at (0.0787, 0.7410, 0.0000), Al at (0.4277, 0.0976, 0.5000), Cu at (0.6667, 0.3333, 0.0000), Si at (0.3333, 0.6667, 0.5000) and Au at (0.0000, 0.0000, 0.5000).



Record 2
Density functional theory data (PBE) for a relaxed Nb2SnW crystal.

For the raw total energy, the calculation gives -145.28 eV for the cell shown. Its crystal system is cubic. For the total moment, the calculation gives 0.010 μB per atom. For the volume, the calculation gives 18.23 Å³ per atom.

The space group is F-43m (No. 216) and the conventional cell measures 6.632, 6.632 and 6.632 Å, with angles of 90.00, 90.00 and 90.00 degrees. Symmetry generates all atoms from Nb at (0.000, 0.000, 0.000), Nb at (0.250, 0.250, 0.250), Sn at (0.000, 0.000, 0.500) and W at (0.250, 0.250, 0.750).



Record 3
Density functional theory data (PBE) for a relaxed LuMgTlS3 crystal.

For the raw total energy, the calculation gives -116.46 eV for the cell shown. Its crystal system is orthorhombic. For the total moment, the calculation gives 0.000 μB per atom. For the volume, the calculation gives 25.35 Å³ per atom.

The space group is Cmcm (No. 63) and the conventional cell measures 4.010, 14.327 and 10.592 Å, with angles of 90.00, 90.00 and 90.00 degrees. Symmetry generates all atoms from Lu at (0.000, 0.000, 0.000), Mg at (0.000, 0.462, 0.250), Tl at (0.000, 0.255, 0.750), S at (0.000, 0.060, 0.250) and S at (0.000, 0.380, 0.054).



Record 4
Density functional theory data (PBE) for a relaxed TbHfHg crystal.

Its crystal system is cubic. For the total moment, the calculation gives 0.332 μB per atom. For the volume, the calculation gives 27.88 Å³ per atom. The value obtained for the energy relative to the elements is 0.276 eV/atom.

The space group is F-43m (No. 216) and the conventional cell measures 6.942, 6.942 and 6.942 Å, with angles of 90.00, 90.00 and 90.00 degrees. Symmetry generates all atoms from Tb at (0.000, 0.000, 0.000), Hf at (0.000, 0.000, 0.500) and Hg at (0.250, 0.250, 0.750).



Record 5
Density functional theory data (PBE) for a relaxed HoAlPbSe3 crystal.

For the raw total energy, the calculation gives -112.36 eV for the cell shown. Its crystal system is orthorhombic. For the total moment, the calculation gives 0.002 μB per atom. For the volume, the calculation gives 27.25 Å³ per atom.

The space group is Cmcm (No. 63) and the conventional cell measures 3.952, 14.886 and 11.119 Å, with angles of 90.00, 90.00 and 90.00 degrees. Symmetry generates all atoms from Ho at (0.000, 0.000, 0.000), Al at (0.000, 0.367, 0.250), Pb at (0.000, 0.297, 0.750), Se at (0.000, 0.022, 0.750) and Se at (0.000, 0.363, 0.008).



Record 6
Density functional theory data (PBE) for a relaxed Y7Ni2S2 crystal.

For the raw total energy, the calculation gives -147.89 eV for the cell shown. Its crystal system is orthorhombic. For the total moment, the calculation gives 0.001 μB per atom. For the volume, the calculation gives 23.55 Å³ per atom.

The space group is Imm2 (No. 44) and the conventional cell measures 3.772, 14.924 and 9.204 Å, with angles of 90.00, 90.00 and 90.00 degrees. Symmetry generates all atoms from Y at (0.000, 0.000, 0.000), Y at (0.000, 0.118, 0.398), Y at (0.000, 0.314, 0.605), Y at (0.000, 0.367, 0.244), Ni at (0.000, 0.241, 0.906), S at (0.000, 0.000, 0.651) and S at (0.000, 0.500, 0.743).



Record 7
Density functional theory data (PBE) for a relaxed TaGaO3 crystal.

For the raw total energy, the calculation gives -242.53 eV for the cell shown. Its crystal system is trigonal. For the total moment, the calculation gives 0.000 μB per atom. For the volume, the calculation gives 12.72 Å³ per atom.

The space group is R-3c (No. 167, hexagonal axes) and the conventional cell measures 5.6458, 5.6458 and 13.8200 Å, with angles of 90.00, 90.00 and 120.00 degrees. Symmetry generates all atoms from Ta at (0.0000, 0.0000, 0.0000), Ga at (0.0000, 0.0000, 0.2500) and O at (0.0000, 0.4917, 0.2500).



Record 8
Density functional theory data (PBE) for a relaxed LuScSi2 crystal.

For the raw total energy, the calculation gives -85.44 eV for the cell shown. Its crystal system is cubic. For the total moment, the calculation gives 0.001 μB per atom. For the volume, the calculation gives 18.97 Å³ per atom.

The space group is F-43m (No. 216) and the conventional cell measures 6.720, 6.720 and 6.720 Å, with angles of 90.00, 90.00 and 90.00 degrees. Symmetry generates all atoms from Lu at (0.000, 0.000, 0.000), Sc at (0.250, 0.250, 0.750), Si at (0.000, 0.000, 0.500) and Si at (0.250, 0.250, 0.250).



Record 9
Density functional theory data (PBE) for a relaxed ReMo2C2 crystal.

For the raw total energy, the calculation gives -207.29 eV for the cell shown. Its crystal system is orthorhombic. For the total moment, the calculation gives 0.000 μB per atom. For the volume, the calculation gives 11.51 Å³ per atom.

The space group is Pnma (No. 62) and the conventional cell measures 5.953, 4.282 and 9.029 Å, with angles of 90.00, 90.00 and 90.00 degrees. Symmetry generates all atoms from Re at (0.110, 0.250, 0.075), Mo at (0.124, 0.250, 0.753), Mo at (0.149, 0.250, 0.427), C at (0.124, 0.750, 0.736) and C at (0.129, 0.750, 0.420).



Record 10
Density functional theory data (PBE) for a relaxed YAsIrO crystal.

The polymorph energy (0 for the lowest one) is 807 meV/atom. Its crystal system is tetragonal. For the total moment, the calculation gives 0.000 μB per atom. For the volume, the calculation gives 18.85 Å³ per atom.

The space group is P4/nmm (No. 129, origin choice 2) and the conventional cell measures 5.757, 5.757 and 4.550 Å, with angles of 90.00, 90.00 and 90.00 degrees. Symmetry generates all atoms from Y at (0.250, 0.750, 0.000), As at (0.250, 0.250, 0.493), Ir at (0.250, 0.250, 0.994) and O at (0.250, 0.750, 0.500).



Record 11
Density functional theory data (PBE) for a relaxed ZnAgTeO crystal.

The polymorph energy (0 for the lowest one) is 123 meV/atom. Its crystal system is orthorhombic. For the volume, the calculation gives 19.50 Å³ per atom.

The space group is Cmc2_1 (No. 36) and the conventional cell measures 3.609, 14.415 and 5.999 Å, with angles of 90.00, 90.00 and 90.00 degrees. Symmetry generates all atoms from Zn at (0.000, 0.038, 0.000), Ag at (0.000, 0.331, 0.151), Te at (0.000, 0.325, 0.667) and O at (0.000, 0.065, 0.691).



Record 12
Density functional theory data (PBE) for a relaxed GdHoAg crystal.

Its crystal system is cubic. For the total moment, the calculation gives 0.001 μB per atom. For the volume, the calculation gives 27.94 Å³ per atom. The value obtained for the energy relative to the elements is 0.572 eV/atom.

The space group is F-43m (No. 216) and the conventional cell measures 6.947, 6.947 and 6.947 Å, with angles of 90.00, 90.00 and 90.00 degrees. Symmetry generates all atoms from Gd at (0.000, 0.000, 0.000), Ho at (0.250, 0.250, 0.250) and Ag at (0.250, 0.250, 0.750).